No. 1
The following is a DFT calculation (GGA-PBE) of a relaxed KHfSCl2 crystal.

Geometry as extended XYZ:
```
5
Lattice="-3.924 -1.568 -2.797 -1.610 -2.861 3.862 -2.712 3.793 1.679" Properties=species:S:1:pos:R:3 pbc="T T T"
K -4.123 -0.318 1.372
Hf 0.000 0.000 0.000
S -1.356 1.896 0.840
Cl -0.805 -1.430 1.931
Cl -1.962 -0.784 -1.399
```

Properties
* formation energy (no corrections): -1.503 eV per atom
* space group: P4/mmm
* distance to the lowest polymorph of the same formula: 0.000 eV/atom

***

No. 2
The following is a DFT calculation (GGA-PBE) of a relaxed BeGaRu crystal.

Geometry as extended XYZ:
```
3
Lattice="2.793 0.000 0.000 0.000 3.898 0.000 0.000 -1.949 3.376" Properties=species:S:1:pos:R:3 pbc="T T T"
Ru 1.870 1.949 1.125
Ga 0.475 0.000 2.250
Be 0.449 0.000 0.000
```

Properties
* space group: P3m1
* distance to the lowest polymorph of the same formula: 0.068 eV/atom

***

| no. | Fermi-level density of states (states/eV/atom) |
| --- | --- |
| 1 | 0.2738 |
| 2 | 0.5488 |